First-principles (PBE) data for NaCdAsPt after structural relaxation, as listed in OQMD.

Computed properties:
The value obtained for the energy above the most stable polymorph in this dataset is 0.000 eV per atom.

abc: 6.6342 6.6342 6.6342
angles: 90.00 90.00 90.00
Last column: nearest neighbours and their distance in Å.
Space group F-43m (No. 216)
Symmetry-distinct sites (fractional):
Na: 0.0000 0.0000 0.0000 (multiplicity 4)  4 Cd 2.87, 4 As 2.87
Cd: 0.2500 0.2500 0.7500 (multiplicity 4)  4 Na 2.87, 4 Pt 2.87
As: 0.2500 0.2500 0.2500 (multiplicity 4)  4 Na 2.87, 4 Pt 2.87
Pt: 0.0000 0.0000 0.5000 (multiplicity 4)  4 Cd 2.87, 4 As 2.87